1.
VASP calculation (PBE-GGA) on a relaxed structure of PrNd3Dy2CoTe2.

Summary:
VASP energy	-5.32	eV per atom
size of the total moment	0.003	μB/atom

Cell lengths 4.0008, 15.0022, 8.4986 Å; angles 90.00, 90.00, 90.00 degrees
With the nearest neighbours (Å) after each atom.
Space group Amm2 (No. 38)
One atom of each set of equivalent atoms:
Pr1 0.0000 0.0000 0.0000 (multiplicity 2)  2 Co 3.03
Nd1 0.5000 0.0000 0.6380 (multiplicity 2)  1 Co 3.15, 4 Te 3.32
Nd2 0.5000 0.2038 0.0305 (multiplicity 4)  4 Te 3.25-3.28, 2 Dy 3.62
Dy1 0.0000 0.1171 0.3501 (multiplicity 4)  2 Co 2.75
Co1 0.5000 0.0000 0.2673 (multiplicity 2)  4 Dy 2.75, 2 Pr 3.03
Te1 0.0000 0.1686 0.7315 (multiplicity 4)  6 Nd 3.25-3.32, 2 Dy 3.33-3.37, 1 Pr 3.41

=====

2.
VASP calculation (PBE-GGA) on a relaxed structure of DyMgPO.

Summary:
VASP energy	-5.31	eV per atom
size of the total moment	0.025	μB/atom

Cell lengths 4.3849, 4.3849, 9.0672 Å; angles 90.00, 90.00, 90.00 degrees
With the nearest neighbours (Å) after each atom.
Space group P4/nmm (No. 129, origin choice 2)
One atom of each set of equivalent atoms:
Dy1 0.2500 0.7500 0.0000 (multiplicity 2)  4 P 2.69
Mg1 0.2500 0.2500 0.4902 (multiplicity 2)  4 O 2.19
P1 0.2500 0.2500 0.1714 (multiplicity 2)  4 Dy 2.69, 1 Mg 2.89
O1 0.2500 0.7500 0.5000 (multiplicity 2)  4 Mg 2.19

=====

3.
VASP calculation (PBE-GGA) on a relaxed structure of Hf2Zr.

Summary:
VASP energy	-8.55	eV per atom
size of the total moment	0.007	μB/atom
DFT formation energy	0.933	eV/atom

Cell lengths 6.7466, 6.7466, 6.7466 Å; angles 90.00, 90.00, 90.00 degrees
With the nearest neighbours (Å) after each atom.
Space group Fm-3m (No. 225)
One atom of each set of equivalent atoms:
Hf1 0.2500 0.2500 0.2500 (multiplicity 8)  4 Zr 2.92
Zr1 0.0000 0.0000 0.0000 (multiplicity 4)  8 Hf 2.92

=====

4.
VASP calculation (PBE-GGA) on a relaxed structure of Li2OsN2.

Summary:
VASP energy	-6.33	eV per atom
size of the total moment	0.325	μB/atom

Cell lengths 3.1493, 3.1493, 5.2663 Å; angles 90.00, 90.00, 120.00 degrees
With the nearest neighbours (Å) after each atom.
Space group P-3m1 (No. 164)
One atom of each set of equivalent atoms:
Li1 0.3333 0.6667 0.1347 (multiplicity 2)  4 N 1.98-2.20
Os1 0.0000 0.0000 0.5000 (multiplicity 1)  6 N 2.15
N1 0.3333 0.6667 0.7162 (multiplicity 2)  4 Li 1.98-2.20, 3 Os 2.15

=====

Q: The lowest VASP energy belongs to which entry?
A: Hf2Zr

=====

Q: Which formula does entry 4 have?
A: Li2OsN2

=====

Q: Number 2 is which compound?
A: DyMgPO

=====

Q: Which of these has the lowest size of the total moment?
A: PrNd3Dy2CoTe2